No. 1
Pr12Nd6Sm | PBE | optimized geometry

Cell: 8.8362 8.8362 8.8362 Å, 89.20 89.20 89.20°
With the nearest neighbours (Å) after each atom.
Fractional positions:
Nd (0.9040, 0.3005, 0.7384)  7 Pr 3.47-3.79, 1 Sm 3.60, 2 Nd 3.63
Pr (0.8077, 0.6390, 0.9820)  4 Pr 3.55-3.72, 4 Nd 3.61-3.79, 1 Sm 3.64
Pr (0.5659, 0.2193, 0.4651)  4 Pr 3.40-3.72, 3 Nd 3.47-3.55
Pr (0.4651, 0.5659, 0.2193)  4 Pr 3.40-3.72, 3 Nd 3.47-3.55
Nd (0.3005, 0.7384, 0.9040)  7 Pr 3.47-3.79, 1 Sm 3.60, 2 Nd 3.63
Pr (0.2193, 0.4651, 0.5659)  4 Pr 3.40-3.72, 3 Nd 3.47-3.55
Nd (0.7384, 0.9040, 0.3005)  7 Pr 3.47-3.79, 1 Sm 3.60, 2 Nd 3.63
Nd (0.0960, 0.6995, 0.2616)  7 Pr 3.47-3.79, 1 Sm 3.60, 2 Nd 3.63
Pr (0.7807, 0.5349, 0.4341)  4 Pr 3.40-3.72, 3 Nd 3.47-3.55
Pr (0.5349, 0.4341, 0.7807)  4 Pr 3.40-3.72, 3 Nd 3.47-3.55
Pr (0.9820, 0.8077, 0.6390)  4 Pr 3.55-3.72, 4 Nd 3.61-3.79, 1 Sm 3.64
Pr (0.0180, 0.1923, 0.3610)  4 Pr 3.55-3.72, 4 Nd 3.61-3.79, 1 Sm 3.64
Nd (0.6995, 0.2616, 0.0960)  7 Pr 3.47-3.79, 1 Sm 3.60, 2 Nd 3.63
Pr (0.1923, 0.3610, 0.0180)  4 Pr 3.55-3.72, 4 Nd 3.61-3.79, 1 Sm 3.64
Sm (0.0000, 0.0000, 0.0000)  6 Nd 3.60, 6 Pr 3.64
Nd (0.2616, 0.0960, 0.6995)  7 Pr 3.47-3.79, 1 Sm 3.60, 2 Nd 3.63
Pr (0.6390, 0.9820, 0.8077)  4 Pr 3.55-3.72, 4 Nd 3.61-3.79, 1 Sm 3.64
Pr (0.4341, 0.7807, 0.5349)  4 Pr 3.40-3.72, 3 Nd 3.47-3.55
Pr (0.3610, 0.0180, 0.1923)  4 Pr 3.55-3.72, 4 Nd 3.61-3.79, 1 Sm 3.64

## Properties
- E above lowest polymorph (meV per atom) = 0



No. 2
GdZnAgSn | PBE | optimized geometry

Cell: 4.9702 4.9702 4.9702 Å, 60.00 60.00 60.00°
With the nearest neighbours (Å) after each atom.
Fractional positions:
Gd (0.7500, 0.7500, 0.7500)  4 Ag 3.04, 4 Zn 3.04
Sn (0.2500, 0.2500, 0.2500)  4 Ag 3.04, 4 Zn 3.04
Zn (0.0000, 0.0000, 0.0000)  4 Gd 3.04, 4 Sn 3.04
Ag (0.5000, 0.5000, 0.5000)  4 Gd 3.04, 4 Sn 3.04



No. 3
GdTmC | PBE | optimized geometry

Cell: 3.5721 3.5721 6.2215 Å, 90.00 90.00 120.00°
With the nearest neighbours (Å) after each atom.
Fractional positions:
Gd (0.0000, 0.0000, 0.1140)  3 C 2.50
Tm (0.3333, 0.6667, 0.5460)  3 C 2.43
C (0.6667, 0.3333, 0.3400)  3 Tm 2.43, 3 Gd 2.50



No. 4
AcAgSn3 | PBE | optimized geometry

Cell: 4.7122 4.8707 12.8133 Å, 100.96 90.00 90.00°
With the nearest neighbours (Å) after each atom.
Fractional positions:
Sn (0.0000, 0.0575, 0.1150)  2 Ag 2.83, 1 Sn 2.89
Ac (0.5000, 0.1676, 0.3352)  10 Sn 3.64-3.71, 4 Ag 3.64
Ag (0.0000, 0.3850, 0.7700)  5 Sn 2.67-2.83
Sn (0.0000, 0.9425, 0.8850)  2 Ag 2.83, 1 Sn 2.89
Ac (0.5000, 0.8324, 0.6648)  10 Sn 3.64-3.71, 4 Ag 3.64
Sn (0.0000, 0.7211, 0.4422)  1 Ag 2.67, 2 Sn 2.84
Ag (0.0000, 0.6150, 0.2300)  5 Sn 2.67-2.83
Sn (0.5000, 0.4435, 0.8870)  2 Ag 2.78, 1 Sn 2.84
Sn (0.0000, 0.2789, 0.5578)  1 Ag 2.67, 2 Sn 2.84
Sn (0.5000, 0.5565, 0.1130)  2 Ag 2.78, 1 Sn 2.84



No. 5
Ce2ScCd2In2 | PBE | optimized geometry

Cell: 4.8053 4.8053 9.0806 Å, 74.66 74.66 60.00°
With the nearest neighbours (Å) after each atom.
Fractional positions:
Cd (0.5918, 0.5918, 0.2247)  3 In 2.81
Ce (0.8583, 0.8583, 0.4250)  3 Ce 3.06, 3 Cd 3.27
Cd (0.4082, 0.4082, 0.7753)  3 In 2.81
In (0.2752, 0.2752, 0.1743)  3 Cd 2.81
Sc (0.0000, 0.0000, 0.0000)  6 In 3.16, 6 Cd 3.39
Ce (0.1417, 0.1417, 0.5750)  3 Ce 3.06, 3 Cd 3.27
In (0.7248, 0.7248, 0.8257)  3 Cd 2.81



No. 6
LaTl2Cr | PBE | optimized geometry

Cell: 3.7604 3.7604 7.6624 Å, 90.00 90.00 90.00°
With the nearest neighbours (Å) after each atom.
Fractional positions:
Tl (0.0000, 0.0000, 0.0240)  4 Tl 3.32, 1 Cr 3.41, 4 La 3.51
La (0.5000, 0.5000, 0.7241)  4 Cr 3.30, 5 Tl 3.38-3.51
Cr (0.0000, 0.0000, 0.4685)  4 Tl 3.01, 4 La 3.30
Tl (0.5000, 0.5000, 0.2834)  4 Cr 3.01, 4 Tl 3.32



No. 7
Pm4BeGe3 | PBE | optimized geometry

Cell: 4.3829 4.0243 11.0383 Å, 90.00 90.00 90.00°
With the nearest neighbours (Å) after each atom.
Fractional positions:
Pm (0.0000, 0.5000, 0.8638)  2 Be 3.06, 5 Ge 3.07-3.10
Pm (0.5000, 0.0000, 0.6409)  7 Ge 3.04-3.25
Ge (0.0000, 0.5000, 0.5833)  2 Ge 2.68
Be (0.5000, 0.5000, 0.0570)  2 Ge 2.43
Pm (0.5000, 0.5000, 0.3576)  6 Ge 3.06-3.32, 1 Be 3.32
Ge (0.0000, 0.0000, 0.4230)  2 Ge 2.68
Ge (0.5000, 0.0000, 0.9342)  2 Be 2.43
Pm (0.0000, 0.0000, 0.1401)  4 Be 3.11, 3 Ge 3.12-3.16



No. 8
Ca3NdAu4 | PBE | optimized geometry

Cell: 6.3263 6.3263 6.3263 Å, 109.47 109.47 109.47°
With the nearest neighbours (Å) after each atom.
Fractional positions:
Au (0.5001, 0.5001, 0.5001)  2 Nd 3.16, 6 Ca 3.16
Au (0.0000, 0.0000, 0.4999)  2 Nd 3.16, 6 Ca 3.16
Ca (0.5000, 0.0000, 0.5000)  8 Au 3.16
Au (0.0000, 0.4999, 0.0000)  2 Nd 3.16, 6 Ca 3.16
Ca (0.5000, 0.5000, 0.0000)  8 Au 3.16
Ca (0.0000, 0.5000, 0.5000)  8 Au 3.16
Au (0.4999, 0.0000, 0.0000)  2 Nd 3.16, 6 Ca 3.16
Nd (0.0000, 0.0000, 0.0000)  8 Au 3.16



No. 9
RbLi2SnPt | PBE | optimized geometry

Cell: 5.2288 5.2288 5.0647 Å, 90.00 90.00 90.00°
With the nearest neighbours (Å) after each atom.
Fractional positions:
Pt (0.0000, 0.0000, 0.0000)  2 Sn 2.53, 4 Li 2.61
Li (0.5000, 0.0000, 0.0000)  2 Pt 2.61
Rb (0.5000, 0.5000, 0.5000)  8 Li 3.64, 4 Sn 3.70
Li (0.0000, 0.5000, 0.0000)  2 Pt 2.61
Sn (0.0000, 0.0000, 0.5000)  2 Pt 2.53



No. 10
La5Ga2Bi | PBE | optimized geometry

Cell: 8.6427 8.6427 9.1211 Å, 118.28 118.28 90.00°
With the nearest neighbours (Å) after each atom.
Fractional positions:
Bi (0.2500, 0.2500, 0.5000)  10 La 3.39-3.57
La (0.5000, 0.5000, 0.0000)  4 Ga 3.32, 2 Bi 3.39
La (0.7004, 0.2004, 0.7142)  3 Ga 3.12-3.24
La (0.5137, 0.7004, 0.7142)  3 Ga 3.12-3.24
La (0.2004, 0.0137, 0.7142)  3 Ga 3.12-3.24
Ga (0.3567, 0.8567, 0.0000)  8 La 3.12-3.32
La (0.2996, 0.7996, 0.2858)  3 Ga 3.12-3.24
La (0.9863, 0.4863, 0.2858)  3 Ga 3.12-3.24
La (0.4863, 0.2996, 0.2858)  3 Ga 3.12-3.24
La (0.7996, 0.9863, 0.2858)  3 Ga 3.12-3.24
La (0.0000, 0.0000, 0.0000)  4 Ga 3.32, 2 Bi 3.39
Ga (0.6433, 0.1433, 0.0000)  8 La 3.12-3.32
Bi (0.7500, 0.7500, 0.5000)  10 La 3.39-3.57
La (0.0137, 0.5137, 0.7142)  3 Ga 3.12-3.24
Ga (0.8567, 0.6433, 0.0000)  8 La 3.12-3.32
Ga (0.1433, 0.3567, 0.0000)  8 La 3.12-3.32



No. 11
Mg5W | PBE | optimized geometry

Cell: 2.9123 2.9123 14.2455 Å, 90.00 90.00 90.00°
With the nearest neighbours (Å) after each atom.
Fractional positions:
W (0.5000, 0.5000, 0.0000)  4 W 2.91, 8 Mg 2.97
Mg (0.0000, 0.0000, 0.5000)  12 Mg 2.91-3.20
Mg (0.0000, 0.0000, 0.8500)  4 Mg 2.91, 4 W 2.97
Mg (0.5000, 0.5000, 0.3280)  8 Mg 2.91-3.20
Mg (0.5000, 0.5000, 0.6720)  8 Mg 2.91-3.20
Mg (0.0000, 0.0000, 0.1500)  4 Mg 2.91, 4 W 2.97

## Properties
- E above lowest polymorph (meV per atom) = 0



No. 12
CeSm2Ge | PBE | optimized geometry

Cell: 3.5405 3.5405 11.1952 Å, 80.90 80.90 60.00°
With the nearest neighbours (Å) after each atom.
Fractional positions:
Sm (0.1016, 0.1016, 0.6951)  3 Ge 2.96
Sm (0.8984, 0.8984, 0.3049)  3 Ge 2.96
Ge (0.5000, 0.5000, 0.5000)  6 Sm 2.96
Ce (0.0000, 0.0000, 0.0000)  2 Sm 3.36, 6 Ce 3.54

## Properties
- E above lowest polymorph (meV per atom) = 333



| no. | E_form (eV per atom) | electronic total energy (eV per cell) | theoretical density (Mg/m³) |
| --- | --- | --- | --- |
| 1 | 0.121 | -88.39 | 6.5 |
| 2 | -0.331 | -23.53 | 8.6 |
| 3 | -0.264 | -28.57 | 8.2 |
| 4 | -0.364 | -41.57 | 7.9 |
| 5 | -0.147 | -26.54 | 7.5 |
| 6 | 0.212 | -18.44 | 9.2 |
| 7 | -0.640 | -41.70 | 6.9 |
| 8 | -0.786 | -30.17 | 9.0 |
| 9 | -0.318 | -16.43 | 5.0 |
| 10 | -0.592 | -78.62 | 6.8 |
| 11 | 0.233 | -19.53 | 4.2 |
| 12 | -0.004 | -20.00 | 7.1 |